Record 1
VASP calculation (SCAN) on a crystal of CdIn3Os relaxed with PBEsol.

Properties
D(E_F)   0.821 states/eV/atom
SG   Pm-3m
Energy   -38.9150 eV per atom
Energy of formation from the pure elements   1.58 eV per atom

a b c (Å): 5.196 5.196 5.196
angles (deg): 90.00 90.00 90.00
Element x y z (fractional)
Os: 0.500 0.500 0.500
In: 0.000 0.500 0.000
In: 0.000 0.000 0.500
In: 0.500 0.000 0.000
Cd: 0.000 0.000 0.000

---

Record 2
VASP calculation (SCAN) on a crystal of Zr2CrPb relaxed with PBEsol.

Properties
D(E_F)   0.447 states/eV/atom
SG   P4/mmm
Energy   -38.9010 eV per atom
Energy of formation from the pure elements   -0.01 eV per atom

a b c (Å): 3.697 4.570 4.570
angles (deg): 90.00 90.00 90.00
Element x y z (fractional)
Pb: 0.500 0.000 0.000
Zr: 0.000 0.500 0.000
Zr: 0.000 0.000 0.500
Cr: 0.500 0.500 0.500